Computed, not measured: an optimized crystal structure of TbVBi2O6 at the PBE+U level of DFT.

Values from the calculation:
The value obtained for the total energy is -138.7 eV/cell.

Cell lengths 5.640, 6.079, 8.153 Å; angles 90.00, 90.43, 90.00 degrees
Last column: magnetic moment on the atom in μB.
Sites, in units of the cell vectors:
Bi 0.512 0.459 0.241  0.02
O 0.666 0.705 0.434  -0.01
O 0.625 0.954 0.734  -0.02
V 0.000 0.500 0.000  1.90
V 0.500 0.000 0.500  1.90
O 0.334 0.295 0.566  -0.01
O 0.183 0.825 0.551  0.00
O 0.317 0.325 0.949  0.00
O 0.817 0.175 0.449  0.00
Bi 0.988 0.959 0.259  0.02
O 0.683 0.675 0.051  0.00
O 0.166 0.795 0.934  -0.01
O 0.125 0.546 0.234  -0.02
O 0.834 0.205 0.066  -0.01
Tb 0.500 0.000 0.000  0.01
Tb 0.000 0.500 0.500  0.01
O 0.375 0.046 0.266  -0.02
Bi 0.012 0.041 0.741  0.02
O 0.875 0.454 0.766  -0.02
Bi 0.488 0.541 0.759  0.02